Compound: H4Au2O
Source: Alexandria via LeMat-Bulk
Functional: PBE
Structure: relaxed

Properties
* raw total energy: -3.57 eV per atom
* space group: I4/mmm, No. 139

Cell: 2.6768 2.6768 11.0553 Å, 83.05 83.05 90.00°
Sites, in units of the cell vectors:
Au: 0.3201 0.3201 0.3598
Au: 0.6799 0.6799 0.6402
H: 0.8417 0.8417 0.3166
H: 0.1583 0.1583 0.6834
H: 0.0000 0.5000 0.0000
H: 0.5000 0.0000 0.0000
O: 0.0000 0.0000 0.0000